[1]
The following is a DFT calculation (PBE) of a relaxed structure of MgHgCl2.

Calculated values
Fermi-level density of states = 0.123 states/eV per atom
Excess energy over the best structure of this formula in the dataset = 0.3536 eV per atom
E_form (uncorrected) = -1.02 eV/atom
Crystal system = tetragonal
Theoretical density = 3.941 Mg/m³

a b c (Å): 3.5663 3.5663 9.8000
angles (deg): 90.00 90.00 90.00
Fractional positions:
1 Mg 0.0000 0.0000 0.0000
2 Hg 0.5000 0.5000 0.5110
3 Cl 0.0000 0.0000 0.2222
4 Cl 0.5000 0.5000 0.9110


[2]
The following is a DFT calculation (PBE) of a relaxed structure of MgHgCl2.

Calculated values
Fermi-level density of states = 0.000 states/eV per atom
Excess energy over the best structure of this formula in the dataset = 0.4335 eV per atom
E_form (uncorrected) = -0.94 eV/atom
Crystal system = orthorhombic
Theoretical density = 4.859 Mg/m³

a b c (Å): 5.9158 5.9158 5.9158
angles (deg): 145.92 117.55 73.10
Fractional positions:
1 Mg 0.0000 0.0000 0.0000
2 Hg 0.2402 0.7402 0.5000
3 Cl 0.4816 0.4816 0.0000
4 Cl 0.8274 0.3273 0.5000


[3]
The following is a DFT calculation (PBE) of a relaxed structure of MgHg3Cl8.

Calculated values
Fermi-level density of states = 0.000 states/eV per atom
E_form (uncorrected) = -0.87 eV/atom
Crystal system = monoclinic
Theoretical density = 4.412 Mg/m³

a b c (Å): 7.9132 7.9132 7.6985
angles (deg): 118.67 118.67 58.18
Fractional positions:
1 Mg 0.0000 0.0000 0.0000
2 Hg 0.0000 0.5000 0.0000
3 Hg 0.5000 0.0000 0.0000
4 Hg 0.5000 0.5000 0.0000
5 Cl 0.2228 0.2228 0.2195
6 Cl 0.2335 0.7553 0.2236
7 Cl 0.2447 0.7665 0.7764
8 Cl 0.2560 0.2560 0.7711
9 Cl 0.7440 0.7440 0.2289
10 Cl 0.7553 0.2335 0.2236
11 Cl 0.7665 0.2447 0.7764
12 Cl 0.7772 0.7772 0.7805